## CdGe2Au (PBE)

Data for CdGe2Au after structural relaxation.

magnetization	0.00	μB per formula unit
space group	No. 122
electronic total energy	-3.21	eV per atom
theoretical density	8.84	g/cm3
formation enthalpy at 0 K	143	meV/atom

Structure (POSCAR):
```
CdGe2Au
1.0
7.849 0.000 0.000
0.000 7.849 0.000
3.925 3.925 2.774
Ge Au Cd
4 2 2
direct
0.088 0.625 0.250 Ge
0.375 0.338 0.750 Ge
0.662 0.125 0.250 Ge
0.875 0.912 0.750 Ge
0.000 0.000 0.000 Au
0.750 0.250 0.500 Au
0.500 0.500 0.000 Cd
0.250 0.750 0.500 Cd
```

=====

## CdGeAu6 (PBE)

Data for CdGeAu6 after structural relaxation.

magnetization	0.00	μB per formula unit
energy above the lowest structure with this stoichiometry	0.008	eV/atom
space group	No. 123
electronic total energy	-3.16	eV per atom
theoretical density	15.32	g/cm3
formation enthalpy at 0 K	-6	meV/atom

Structure (POSCAR):
```
CdGeAu6
1.0
-2.110 3.121 1.821
-1.335 -2.633 2.966
6.789 1.848 4.697
Au Cd Ge
6 1 1
direct
0.000 0.500 0.248 Au
0.500 0.500 0.000 Au
0.500 0.500 0.500 Au
0.500 0.000 0.752 Au
0.500 0.000 0.248 Au
0.000 0.500 0.752 Au
0.000 0.000 0.500 Cd
0.000 0.000 0.000 Ge
```

=====

## CdGeAu3 (PBE)

Data for CdGeAu3 after structural relaxation.

magnetization	0.00	μB per formula unit
energy above the lowest structure with this stoichiometry	0.793	eV/atom
space group	No. 221
electronic total energy	-2.32	eV per atom
theoretical density	9.55	g/cm3
formation enthalpy at 0 K	756	meV/atom

Structure (POSCAR):
```
CdGeAu3
1.0
-4.462 2.110 1.394
-2.256 -2.045 -4.127
-1.142 -4.204 2.707
Au Ge Cd
3 1 1
direct
0.500 0.000 0.000 Au
0.000 0.000 0.500 Au
0.000 0.500 0.000 Au
0.500 0.500 0.500 Ge
0.000 0.000 0.000 Cd
```

=====

## CdGeAu2 (PBE)

Data for CdGeAu2 after structural relaxation.

magnetization	0.00	μB per formula unit
energy above the lowest structure with this stoichiometry	0.000	eV/atom
space group	No. 61
electronic total energy	-3.09	eV per atom
theoretical density	11.35	g/cm3
formation enthalpy at 0 K	-68	meV/atom

Structure (POSCAR):
```
CdGeAu2
1.0
-2.077 -3.153 -4.345
-2.295 -4.708 4.513
-14.835 8.274 1.088
Au Cd Ge
16 8 8
direct
0.000 0.250 0.327 Au
0.000 0.750 0.673 Au
0.500 0.749 0.446 Au
0.000 0.250 0.827 Au
0.500 0.249 0.054 Au
0.000 0.750 0.173 Au
0.000 0.749 0.946 Au
0.000 0.751 0.446 Au
0.000 0.251 0.054 Au
0.500 0.750 0.173 Au
0.500 0.250 0.327 Au
0.500 0.251 0.554 Au
0.500 0.751 0.946 Au
0.500 0.750 0.673 Au
0.500 0.250 0.827 Au
0.000 0.249 0.554 Au
0.250 0.614 0.808 Cd
0.750 0.886 0.808 Cd
0.750 0.886 0.308 Cd
0.750 0.386 0.692 Cd
0.750 0.386 0.192 Cd
0.250 0.614 0.308 Cd
0.250 0.114 0.692 Cd
0.250 0.114 0.192 Cd
0.749 0.924 0.561 Ge
0.251 0.576 0.061 Ge
0.751 0.924 0.061 Ge
0.749 0.424 0.939 Ge
0.251 0.076 0.439 Ge
0.249 0.076 0.939 Ge
0.751 0.424 0.439 Ge
0.249 0.576 0.561 Ge
```

=====

## Cd2GeAu2 (PBE)

Data for Cd2GeAu2 after structural relaxation.

magnetization	0.00	μB per formula unit
energy above the lowest structure with this stoichiometry	0.034	eV/atom
space group	No. 127
electronic total energy	-2.57	eV per atom
theoretical density	11.06	g/cm3
formation enthalpy at 0 K	29	meV/atom

Structure (POSCAR):
```
Cd2GeAu2
1.0
-4.861 4.494 5.084
4.280 -2.822 6.587
1.880 2.301 -0.236
Au Ge Cd
4 2 4
direct
0.333 0.167 0.500 Au
0.667 0.833 0.500 Au
0.167 0.667 0.500 Au
0.833 0.333 0.500 Au
0.500 0.500 0.000 Ge
0.000 0.000 0.000 Ge
0.869 0.631 0.000 Cd
0.131 0.369 0.000 Cd
0.631 0.131 0.000 Cd
0.369 0.869 0.000 Cd
```

=====

## Cd3GeAu (PBE)

Data for Cd3GeAu after structural relaxation.

magnetization	0.00	μB per formula unit
energy above the lowest structure with this stoichiometry	0.009	eV/atom
space group	No. 221
electronic total energy	-1.75	eV per atom
theoretical density	7.24	g/cm3
formation enthalpy at 0 K	380	meV/atom

Structure (POSCAR):
```
Cd3GeAu
1.0
5.182 0.000 0.000
0.000 5.182 0.000
0.000 0.000 5.182
Cd Ge Au
3 1 1
direct
0.500 0.000 0.000 Cd
0.000 0.000 0.500 Cd
0.000 0.500 0.000 Cd
0.000 0.000 0.000 Ge
0.500 0.500 0.500 Au
```

=====

## Cd6GeAu10 (PBE)

Data for Cd6GeAu10 after structural relaxation.

magnetization	0.00	μB per formula unit
space group	No. 162
electronic total energy	-2.61	eV per atom
theoretical density	13.52	g/cm3
formation enthalpy at 0 K	-83	meV/atom

Structure (POSCAR):
```
Cd6GeAu10
1.0
5.657 0.000 0.000
0.000 7.147 -4.126
0.000 0.000 8.253
Ge Cd Au
1 6 10
direct
0.500 0.000 0.000 Ge
0.725 0.611 0.000 Cd
0.725 0.000 0.611 Cd
0.275 0.611 0.611 Cd
0.275 0.389 0.000 Cd
0.275 0.000 0.389 Cd
0.725 0.389 0.389 Cd
0.198 0.000 0.745 Au
0.000 0.667 0.333 Au
0.198 0.745 0.000 Au
0.802 0.745 0.745 Au
0.500 0.667 0.333 Au
0.802 0.000 0.255 Au
0.198 0.255 0.255 Au
0.000 0.333 0.667 Au
0.802 0.255 0.000 Au
0.500 0.333 0.667 Au
```

=====

## Cd2GeAu2 (PBE)

Data for Cd2GeAu2 after structural relaxation.

magnetization	0.00	μB per formula unit
energy above the lowest structure with this stoichiometry	0.000	eV/atom
space group	No. 127
electronic total energy	-2.60	eV per atom
theoretical density	11.05	g/cm3
formation enthalpy at 0 K	-4	meV/atom

Structure (POSCAR):
```
Cd2GeAu2
1.0
-3.907 1.274 -6.143
-1.847 -7.150 -0.308
-3.087 0.706 2.110
Cd Au Ge
4 4 2
direct
0.342 0.158 0.500 Cd
0.658 0.842 0.500 Cd
0.842 0.342 0.500 Cd
0.158 0.658 0.500 Cd
0.143 0.357 0.000 Au
0.357 0.857 0.000 Au
0.643 0.143 0.000 Au
0.857 0.643 0.000 Au
0.500 0.500 0.000 Ge
0.000 0.000 0.000 Ge
```

=====

## CdGeAu2 (PBE)

Data for CdGeAu2 after structural relaxation.

magnetization	0.00	μB per formula unit
energy above the lowest structure with this stoichiometry	0.096	eV/atom
space group	No. 225
electronic total energy	-2.99	eV per atom
theoretical density	12.35	g/cm3
formation enthalpy at 0 K	28	meV/atom

Structure (POSCAR):
```
CdGeAu2
1.0
-4.356 -1.407 1.420
-3.853 2.609 -1.147
-3.148 -1.659 -3.211
Au Cd Ge
2 1 1
direct
0.250 0.250 0.250 Au
0.750 0.750 0.750 Au
0.500 0.500 0.500 Cd
0.000 0.000 0.000 Ge
```

=====

## Cd2GeAu (PBE)

Data for Cd2GeAu after structural relaxation.

magnetization	0.00	μB per formula unit
space group	No. 166
electronic total energy	-2.29	eV per atom
theoretical density	9.57	g/cm3
formation enthalpy at 0 K	145	meV/atom

Structure (POSCAR):
```
Cd2GeAu
1.0
2.900 0.000 0.000
1.450 2.512 0.000
1.450 0.837 11.782
Au Cd Ge
1 2 1
direct
0.000 0.000 0.000 Au
0.915 0.915 0.255 Cd
0.085 0.085 0.745 Cd
0.500 0.500 0.500 Ge
```

=====

## CdGeAu14 (PBE)

Data for CdGeAu14 after structural relaxation.

magnetization	0.00	μB per formula unit
space group	No. 38
electronic total energy	-3.20	eV per atom
theoretical density	16.65	g/cm3
formation enthalpy at 0 K	12	meV/atom

Structure (POSCAR):
```
CdGeAu14
1.0
5.747 0.243 0.000
-2.517 5.172 0.000
0.000 0.000 9.672
Cd Ge Au
1 1 14
direct
0.153 0.847 0.000 Cd
0.656 0.344 0.000 Ge
0.846 0.154 0.750 Au
0.338 0.662 0.250 Au
0.836 0.651 0.249 Au
0.338 0.662 0.750 Au
0.161 0.347 0.000 Au
0.836 0.651 0.751 Au
0.162 0.342 0.500 Au
0.349 0.164 0.751 Au
0.653 0.839 0.000 Au
0.662 0.338 0.500 Au
0.159 0.841 0.500 Au
0.349 0.164 0.249 Au
0.658 0.838 0.500 Au
0.846 0.154 0.250 Au
```

=====

## KCdGeAu2 (PBE)

Data for KCdGeAu2 after structural relaxation.

magnetization	0.00	μB per formula unit
energy above the lowest structure with this stoichiometry	0.000	eV/atom
space group	No. 123
electronic total energy	-2.70	eV per atom
theoretical density	7.27	g/cm3
formation enthalpy at 0 K	-66	meV/atom

Structure (POSCAR):
```
KCdGeAu2
1.0
-2.292 3.285 -3.286
-3.774 0.822 3.454
2.750 3.977 2.058
Cd Au Ge K
1 2 1 1
direct
0.000 0.000 0.500 Cd
0.000 0.500 0.000 Au
0.500 0.000 0.000 Au
0.000 0.000 0.000 Ge
0.500 0.500 0.500 K
```

=====

> Number 1 is which compound?

CdGe2Au